{
  "formula": "P5Ru3",
  "functional": "PBE-GGA",
  "state": "relaxed",
  "dft_energy_ev_per_atom": -6.755,
  "dos_ef_per_ev_atom": 1.0226,
  "sg": "P6_3/mcm, No. 193",
  "formation_enthalpy_0k_mev_per_atom": 105,
  "cell": [[7.519, 0.000, 0.000], [-3.760, 6.512, 0.000], [0.000, 0.000, 4.707]],
  "species": ["P", "P", "P", "P", "P", "P", "P", "P", "P", "P", "Ru", "Ru", "Ru", "Ru", "Ru", "Ru"],
  "frac_coords": [[0.000, 0.278, 0.250], [0.000, 0.722, 0.750], [0.278, 0.000, 0.250], [0.278, 0.278, 0.750], [0.333, 0.667, 0.000], [0.333, 0.667, 0.500], [0.667, 0.333, 0.000], [0.667, 0.333, 0.500], [0.722, 0.000, 0.750], [0.722, 0.722, 0.250], [0.000, 0.376, 0.750], [0.000, 0.624, 0.250], [0.376, 0.000, 0.750], [0.376, 0.376, 0.250], [0.624, 0.000, 0.250], [0.624, 0.624, 0.750]]
}



{
  "formula": "SiAs2PbBr",
  "functional": "PBE-GGA",
  "state": "relaxed",
  "dft_energy_ev_per_atom": -3.729,
  "formation_energy_uncorrected_mev_per_atom": 291.2,
  "dos_ef_per_ev_atom": 0.8480,
  "sg": "P4/mmm, No. 123",
  "cell": [[4.868, 0.000, 0.000], [0.000, 4.868, 0.000], [0.000, 0.000, 5.292]],
  "species": ["Si", "As", "As", "Pb", "Br"],
  "frac_coords": [[0.000, 0.000, 0.000], [0.000, 0.500, 0.000], [0.500, 0.000, 0.000], [0.500, 0.500, 0.500], [0.000, 0.000, 0.500]]
}



{
  "formula": "InCuHg2",
  "functional": "PBE-GGA",
  "state": "relaxed",
  "dft_energy_ev_per_atom": -1.724,
  "dos_ef_per_ev_atom": 0.4545,
  "sg": "R3m, No. 160",
  "formation_enthalpy_0k_mev_per_atom": 136,
  "cell": [[1.693, 0.977, 8.997], [-1.693, 0.977, 8.997], [0.000, -1.954, 8.997]],
  "species": ["In", "Cu", "Hg", "Hg"],
  "frac_coords": [[0.000, 0.000, 0.000], [0.738, 0.738, 0.738], [0.238, 0.238, 0.238], [0.476, 0.476, 0.476]]
}



{
  "formula": "In2Sb2Te",
  "functional": "PBE-GGA",
  "state": "relaxed",
  "dft_energy_ev_per_atom": -3.308,
  "formation_energy_uncorrected_mev_per_atom": 64.7,
  "dos_ef_per_ev_atom": 0.5274,
  "sg": "P4/mbm, No. 127",
  "cell": [[8.506, 0.000, 0.000], [0.000, 8.506, 0.000], [0.000, 0.000, 4.073]],
  "species": ["In", "In", "In", "In", "Sb", "Sb", "Sb", "Sb", "Te", "Te"],
  "frac_coords": [[0.139, 0.361, 0.000], [0.361, 0.861, 0.000], [0.639, 0.139, 0.000], [0.861, 0.639, 0.000], [0.166, 0.666, 0.500], [0.334, 0.166, 0.500], [0.666, 0.834, 0.500], [0.834, 0.334, 0.500], [0.000, 0.000, 0.500], [0.500, 0.500, 0.500]]
}



{
  "formula": "AcNd6Sm5",
  "functional": "PBE-GGA",
  "state": "relaxed",
  "dft_energy_ev_per_atom": -4.671,
  "dos_ef_per_ev_atom": 1.5447,
  "sg": "C2/m, No. 12",
  "formation_enthalpy_0k_mev_per_atom": 21,
  "cell": [[3.192, -5.531, 0.000], [3.192, 5.531, 0.000], [-2.154, 0.000, 12.041]],
  "species": ["Ac", "Nd", "Nd", "Nd", "Nd", "Nd", "Nd", "Sm", "Sm", "Sm", "Sm", "Sm"],
  "frac_coords": [[0.000, 0.000, 0.000], [0.084, 0.420, 0.253], [0.251, 0.251, 0.746], [0.420, 0.084, 0.253], [0.580, 0.916, 0.747], [0.749, 0.749, 0.254], [0.916, 0.580, 0.747], [0.167, 0.833, 0.500], [0.334, 0.666, 0.000], [0.500, 0.500, 0.500], [0.666, 0.334, 0.000], [0.833, 0.167, 0.500]]
}



{
  "formula": "Ce4NdAl4",
  "functional": "PBE-GGA",
  "state": "relaxed",
  "dft_energy_ev_per_atom": -4.987,
  "dos_ef_per_ev_atom": 2.0736,
  "sg": "I4/mmm, No. 139",
  "formation_enthalpy_0k_mev_per_atom": -157,
  "cell": [[-4.994, 4.994, 2.148], [4.994, -4.994, 2.148], [4.994, 4.994, -2.148]],
  "species": ["Ce", "Ce", "Ce", "Ce", "Nd", "Al", "Al", "Al", "Al"],
  "frac_coords": [[0.187, 0.187, 0.375], [0.187, 0.813, 0.000], [0.813, 0.187, 0.000], [0.813, 0.813, 0.625], [0.500, 0.500, 0.000], [0.149, 0.500, 0.649], [0.500, 0.149, 0.649], [0.500, 0.851, 0.351], [0.851, 0.500, 0.351]]
}